NaAlC | the Alexandria database | PBE | optimized geometry; V = 101 Å³ per cell; total magnetization = 0.00 μB/atom; E_form = 0.15 eV/atom
1.0
3.0012 -1.7317 0.0000
3.0012 1.7317 0.0000
-1.7692 0.0000 9.6914
Na Al C
2 2 2
direct
0.0935 0.0935 0.3157
0.9065 0.9065 0.6843
0.3608 0.3608 0.0927
0.6392 0.6392 0.9073
0.2940 0.2940 0.8669
0.7060 0.7060 0.1331

NaAlC | the Alexandria database | PBE | optimized geometry; V = 47 Å³ per cell; total magnetization = 0.00 μB/atom; E_form = 0.24 eV/atom
1.0
3.4271 0.0000 0.0000
-1.7136 2.9680 0.0000
0.0000 0.0000 4.6303
Na Al C
1 1 1
direct
0.0000 0.0000 0.0000
0.3333 0.6667 0.5000
0.6667 0.3333 0.5000

NaAlC | the Alexandria database | PBE | optimized geometry; V = 160 Å³ per cell; total magnetization = 0.00 μB/atom; E_form = 0.28 eV/atom
1.0
0.0000 5.0945 3.3740
4.6429 0.0000 3.3740
4.6429 5.0945 0.0000
Na Al C
4 4 4
direct
0.0017 0.9983 0.2424
0.0076 0.4924 0.2483
0.4924 0.0076 0.2517
0.9983 0.0017 0.7576
0.2482 0.5108 0.4887
0.4977 0.7613 0.7392
0.5108 0.2482 0.7523
0.7613 0.4977 0.0018
0.2044 0.5544 0.7949
0.4551 0.8036 0.0456
0.5544 0.2044 0.4464
0.8036 0.4551 0.6956